Here is a relaxed structure of Nd2In2SnRh5 from Alexandria. Energies are from PBE.

Results
calculated volume: 19.75 Å³/atom
formation energy from the elements: -0.492 eV per atom

Cell: 10.291 10.291 3.730 Å, 90.00 90.00 90.00°
Fractional coordinates of all 20 atoms:
Nd 0.171 0.329 0.000
Nd 0.329 0.829 0.000
Nd 0.671 0.171 0.000
Nd 0.829 0.671 0.000
In 0.128 0.628 0.000
In 0.372 0.128 0.000
In 0.628 0.872 0.000
In 0.872 0.372 0.000
Sn 0.000 0.000 0.000
Sn 0.500 0.500 0.000
Rh 0.000 0.500 0.500
Rh 0.061 0.803 0.500
Rh 0.197 0.061 0.500
Rh 0.303 0.561 0.500
Rh 0.439 0.303 0.500
Rh 0.500 0.000 0.500
Rh 0.561 0.697 0.500
Rh 0.697 0.439 0.500
Rh 0.803 0.939 0.500
Rh 0.939 0.197 0.500